Density functional theory data (GGA-PBE) for AlRePd3 after structural relaxation.

The structure in extended XYZ format:
```
5
Lattice="4.505 0.000 0.000 0.000 4.505 0.000 0.000 0.000 4.505" Properties=species:S:1:pos:R:3 pbc="T T T"
Re 2.252 2.252 2.252
Pd 0.000 0.000 2.252
Pd 0.000 2.252 0.000
Pd 2.252 0.000 0.000
Al 0.000 0.000 0.000
```

Values from the calculation:
Symmetry: Pm-3m (221)
DFT total energy: -27.4 eV per cell
Energy relative to the lowest polymorph listed for this composition: 0.00 eV per formula unit
V: 18.28 A^3/atom
Formation energy: 0.874 eV per atom
N(E_F): 3.65 states/eV per cell

=====

Density functional theory data (GGA-PBE) for LiAc2TlRh after structural relaxation.

The structure in extended XYZ format:
```
10
Lattice="-0.737 -3.595 2.165 7.029 1.303 4.557 -6.850 3.730 3.861" Properties=species:S:1:pos:R:3 pbc="T T T"
Tl 2.283 1.189 4.848
Tl -2.841 0.249 5.736
Li -0.650 2.264 5.635
Li 0.092 -0.826 4.949
Ac 4.392 -1.686 4.985
Ac 1.232 0.922 8.240
Ac -4.950 3.124 5.598
Ac -1.789 0.516 2.344
Rh -0.498 -2.166 2.523
Rh -0.059 3.604 8.061
```

Values from the calculation:
Symmetry: P2_1/m (11)
DFT total energy: -44.0 eV per cell
V: 29.47 A^3/atom
Formation energy: -0.434 eV per atom
N(E_F): 7.84 states/eV per cell

=====

Density functional theory data (GGA-PBE) for Bi6SbO12 after structural relaxation.

The structure in extended XYZ format:
```
19
Lattice="6.763 -0.054 -0.065 -1.079 6.677 -0.065 -1.079 -1.257 6.558" Properties=species:S:1:pos:R:3 pbc="T T T"
O 3.725 6.123 0.079
O 1.426 4.728 3.640
O 0.881 -0.757 6.350
O -1.569 3.527 6.039
O 4.457 3.201 2.742
O -0.882 6.112 1.879
O 6.175 1.839 0.390
O 0.149 2.165 3.686
O 2.489 1.824 5.302
O 5.488 -0.746 4.550
O 2.117 3.542 1.126
O 3.180 0.638 2.789
Bi 4.609 1.782 4.518
Bi 1.225 0.185 3.868
Bi 3.381 5.181 2.561
Bi 3.543 1.783 0.873
Bi 1.063 3.583 5.555
Bi -0.003 3.584 1.911
Sb 0.000 0.000 0.000
```

Values from the calculation:
Symmetry: R-3 (148)
DFT total energy: -110.3 eV per cell
V: 15.51 A^3/atom
Uncorrected formation energy: -1.23 eV/atom
N(E_F): 12.76 states/eV per cell

=====

- Which of these has the highest V?
  LiAc2TlRh

=====

- N(E_F) of number 3 (Bi6SbO12)?
  12.76 states/eV per cell

=====

- Look up the V of the first one.
  18.28 A^3/atom